Entry 1:
# Pm2Y6ErTm2

Crystalline Pm2Y6ErTm2 at its relaxed geometry (PBE, the Alexandria database).

Geometry as POSCAR:
```
Pm2Y6ErTm2
1.0
2.822 -6.012 0.000
2.822 6.012 0.000
-0.017 0.000 10.634
Pm Y Er Tm
2 6 1 2
Direct
0.135 0.865 0.000
0.865 0.135 0.000
0.001 0.001 0.295
0.345 0.653 0.787
0.347 0.655 0.213
0.653 0.345 0.787
0.655 0.347 0.213
0.999 0.999 0.705
0.500 0.500 0.500
0.203 0.797 0.500
0.797 0.203 0.500
```

**ΔH_f (0 K)**: 146 meV per atom
**Symmetry**: C2/m, No. 12
**M_tot**: 0.0 μB per formula unit
**Density**: 6.1 g cm⁻³


Entry 2:
# Pm2Y3Er6Tm

Crystalline Pm2Y3Er6Tm at its relaxed geometry (PBE, the Alexandria database).

Geometry as POSCAR:
```
Pm2Y3Er6Tm
1.0
3.071 -5.314 0.000
3.071 5.314 0.000
-2.038 0.000 11.568
Pm Y Er Tm
2 3 6 1
Direct
0.167 0.833 0.000
0.833 0.167 0.000
0.000 0.000 0.500
0.334 0.666 0.500
0.666 0.334 0.500
0.084 0.416 0.750
0.251 0.251 0.251
0.416 0.084 0.750
0.584 0.916 0.250
0.749 0.749 0.749
0.916 0.584 0.250
0.500 0.500 0.000
```

**ΔH_f (0 K)**: 22 meV per atom
**Symmetry**: C2/m, No. 12
**M_tot**: 0.0 μB per formula unit
**Density**: 7.6 g cm⁻³


Entry 3:
# Pm2Y2ErTm

Crystalline Pm2Y2ErTm at its relaxed geometry (PBE, the Alexandria database).

Geometry as POSCAR:
```
Pm2Y2ErTm
1.0
7.044 0.000 0.000
0.000 5.643 0.000
0.000 0.000 9.740
Pm Y Er Tm
4 4 2 2
Direct
0.250 0.000 0.149
0.250 0.500 0.683
0.750 0.000 0.851
0.750 0.500 0.317
0.000 0.000 0.500
0.250 0.500 0.344
0.500 0.000 0.500
0.750 0.500 0.656
0.250 0.000 0.821
0.750 0.000 0.179
0.000 0.500 0.000
0.500 0.500 0.000
```

**ΔH_f (0 K)**: 59 meV per atom
**Symmetry**: Pmma, No. 51
**M_tot**: 0.0 μB per formula unit
**Density**: 6.9 g cm⁻³


Entry 4:
# Pm3YErTm

Crystalline Pm3YErTm at its relaxed geometry (PBE, the Alexandria database).

Geometry as POSCAR:
```
Pm3YErTm
1.0
8.016 0.000 0.000
0.000 5.089 0.000
-3.220 0.000 9.611
Pm Y Er Tm
6 2 2 2
Direct
0.169 0.250 0.042
0.169 0.250 0.542
0.171 0.750 0.292
0.829 0.250 0.708
0.831 0.750 0.458
0.831 0.750 0.958
0.170 0.750 0.793
0.830 0.250 0.207
0.499 0.750 0.626
0.501 0.250 0.374
0.500 0.250 0.876
0.500 0.750 0.124
```

**ΔH_f (0 K)**: 23 meV per atom
**Symmetry**: P2_1/m, No. 11
**M_tot**: 0.0 μB per formula unit
**Density**: 7.3 g cm⁻³


Entry 5:
# Pm2Y6Er3Tm

Crystalline Pm2Y6Er3Tm at its relaxed geometry (PBE, the Alexandria database).

Geometry as POSCAR:
```
Pm2Y6Er3Tm
1.0
3.086 -5.340 0.000
3.086 5.340 0.000
-2.047 0.000 11.625
Pm Y Er Tm
2 6 3 1
Direct
0.167 0.833 0.000
0.833 0.167 0.000
0.083 0.416 0.748
0.252 0.252 0.253
0.416 0.083 0.748
0.584 0.917 0.252
0.748 0.748 0.747
0.917 0.584 0.252
0.000 0.000 0.500
0.334 0.666 0.500
0.666 0.334 0.500
0.500 0.500 0.000
```

**ΔH_f (0 K)**: 22 meV per atom
**Symmetry**: C2/m, No. 12
**M_tot**: 0.0 μB per formula unit
**Density**: 6.5 g cm⁻³


Entry 6:
# PmY2Er5Tm

Crystalline PmY2Er5Tm at its relaxed geometry (PBE, the Alexandria database).

Geometry as POSCAR:
```
PmY2Er5Tm
1.0
2.792 -9.805 0.000
2.792 9.805 0.000
0.000 0.000 10.541
Pm Y Er Tm
2 4 10 2
Direct
0.084 0.916 0.500
0.916 0.084 0.000
0.387 0.613 0.363
0.389 0.611 0.779
0.611 0.389 0.279
0.613 0.387 0.863
0.021 0.979 0.782
0.112 0.888 0.066
0.202 0.798 0.753
0.218 0.782 0.356
0.480 0.520 0.069
0.520 0.480 0.569
0.782 0.218 0.856
0.798 0.202 0.253
0.888 0.112 0.566
0.979 0.021 0.282
0.299 0.701 0.056
0.701 0.299 0.556
```

**ΔH_f (0 K)**: 158 meV per atom
**Symmetry**: Cmc2_1, No. 36
**M_tot**: 0.0 μB per formula unit
**Density**: 7.6 g cm⁻³


What is the ΔH_f (0 K) in the sixth record? 158 meV per atom


Please write out number 1 again, unchanged.
# Pm2Y6ErTm2

Crystalline Pm2Y6ErTm2 at its relaxed geometry (PBE, the Alexandria database).

Geometry as POSCAR:
```
Pm2Y6ErTm2
1.0
2.822 -6.012 0.000
2.822 6.012 0.000
-0.017 0.000 10.634
Pm Y Er Tm
2 6 1 2
Direct
0.135 0.865 0.000
0.865 0.135 0.000
0.001 0.001 0.295
0.345 0.653 0.787
0.347 0.655 0.213
0.653 0.345 0.787
0.655 0.347 0.213
0.999 0.999 0.705
0.500 0.500 0.500
0.203 0.797 0.500
0.797 0.203 0.500
```

**ΔH_f (0 K)**: 146 meV per atom
**Symmetry**: C2/m, No. 12
**M_tot**: 0.0 μB per formula unit
**Density**: 6.1 g cm⁻³